TcSbAu: optimized geometry, PBEsol.

Unit cell a=3.323 b=3.323 c=9.566 alpha=90.00 beta=90.00 gamma=90.00
Space group I4mm (No. 107)
Symmetry-distinct sites (fractional):
Tc (0.000, 0.000, 0.000) [2 per cell]
Sb (0.000, 0.000, 0.360) [2 per cell]
Au (0.000, 0.000, 0.677) [2 per cell]

Properties
Raw formation energy (eV per formula unit): 1.028